# 1
MgAsBr2O | Alexandria via LeMat-Bulk | PBEsol | relaxed; magnetization = 0.00 μB per atom
1.0
-1.693 -1.959 3.313
2.205 -4.109 -1.302
3.844 1.213 2.682
O As Mg Br
1 1 1 2
Cartesian
0.000 0.000 0.000
-0.847 -0.980 1.657
2.178 -2.427 2.347
1.922 0.607 1.341
1.103 -2.054 -0.651

***

# 2
MgAs2BrO | Alexandria via LeMat-Bulk | PBEsol | relaxed; magnetization = 0.12 μB per atom
1.0
4.896 0.000 0.000
0.000 4.986 0.000
0.000 0.000 4.986
O As Mg Br
1 2 1 1
Cartesian
2.448 2.493 2.493
0.000 0.000 2.493
0.000 2.493 0.000
0.000 0.000 0.000
2.448 0.000 0.000

***

# 3
MgAs2OsBr | Alexandria via LeMat-Bulk | PBEsol | relaxed; magnetization = 0.49 μB per atom
1.0
-1.850 -0.231 4.397
-3.705 -2.705 -1.701
2.573 -4.070 0.868
As Os Mg Br
2 1 1 1
Cartesian
1.286 -2.035 0.434
-1.852 -1.352 -0.850
-1.491 -3.503 1.782
0.000 0.000 0.000
-0.925 -0.116 2.198

***

# 4
MgAs2PdBr | Alexandria via LeMat-Bulk | PBEsol | relaxed; magnetization = 0.13 μB per atom
1.0
4.802 0.000 0.000
0.000 4.802 0.000
0.000 0.000 5.228
Mg As Br Pd
1 2 1 1
Cartesian
2.401 2.401 2.614
0.000 2.401 0.000
2.401 0.000 0.000
0.000 0.000 2.614
0.000 0.000 0.000

***

| no. | raw total energy (eV/atom) | Fermi-level density of states (states/eV/f.u.) |
| --- | --- | --- |
| 1 | -3.058 | 3.574 |
| 2 | -2.882 | 5.932 |
| 3 | -3.703 | 5.291 |
| 4 | -3.711 | 4.910 |